Entry from Alexandria via LeMat-Bulk: a relaxed structure of Rb2AlSiO4 (PBE).

The calculation puts the energy relative to the elements, uncorrected at -1647 kJ/mol of formula units. The volume is 23.2 A^3/atom.

The structure belongs to space group Fddd (No. 70, origin choice 2); the cell edges are 4.932, 13.244 and 22.683 Å and the angles 90.00°, 90.00° and 90.00°. The asymmetric unit holds Rb at (0.125, 0.125, 0.296), Al at (0.125, 0.125, 0.125), Si at (0.125, 0.125, 0.625) and O at (0.105, 0.307, 0.837).